1.
18
Lattice="5.607 -4.946 0.000 5.607 4.946 0.000 -2.017 0.000 5.175" Properties=species:S:1:pos:R:3 comment="Cu2SbPd6 (GGA-PBE, relaxed)" dos_at_fermi_per_ev_cell=10.52 magnetic_moment_mub_per_cell=0.00 pbc="T T T"
Cu 1.156 0.182 1.953
Cu 0.148 -0.182 4.541
Cu 9.049 0.182 0.634
Cu 8.041 -0.182 3.221
Sb 4.094 1.437 3.881
Sb 5.103 -1.437 1.294
Pd 1.515 1.969 3.926
Pd 5.575 3.545 0.075
Pd 4.630 3.545 2.512
Pd 3.689 0.806 1.330
Pd 2.681 -0.806 3.918
Pd 2.524 -1.969 1.339
Pd 6.673 1.969 3.836
Pd 6.516 0.806 1.257
Pd 5.508 -0.806 3.844
Pd 4.567 -3.545 2.663
Pd 3.622 -3.545 5.099
Pd 7.682 -1.969 1.249



2.
9
Lattice="3.734 -2.292 0.000 3.734 2.292 0.000 -0.791 0.000 8.101" Properties=species:S:1:pos:R:3 comment="Cu2SbPd6 (GGA-PBE, relaxed)" dos_at_fermi_per_ev_cell=5.34 magnetic_moment_mub_per_cell=0.00 pbc="T T T"
Cu 0.989 0.000 2.116
Cu 5.687 0.000 5.984
Sb 3.338 0.000 4.050
Pd 0.502 0.000 7.686
Pd 0.787 0.000 4.905
Pd 3.571 0.000 1.423
Pd 3.105 0.000 6.678
Pd 5.889 0.000 3.196
Pd 6.175 0.000 0.414



Short version: 2 is the most stable of them.



1.
16
Lattice="-3.298 3.298 5.731 3.298 -3.298 5.731 3.298 3.298 -5.731" Properties=species:S:1:pos:R:3 comment="Cu2SbPd5 (GGA-PBE, relaxed)" dos_at_fermi_per_ev_cell=5.19 magnetic_moment_mub_per_cell=0.00 pbc="T T T"
Cu 4.195 0.897 0.000
Cu 0.897 2.401 0.000
Cu 2.401 0.897 5.731
Cu -0.897 2.401 5.731
Sb 0.000 0.000 2.866
Sb 0.000 0.000 8.597
Pd 0.000 0.000 0.000
Pd 2.273 1.024 -1.763
Pd 2.273 -1.024 3.969
Pd 2.273 1.024 1.763
Pd 2.273 -1.024 7.494
Pd 0.000 0.000 5.731
Pd 1.024 4.322 -1.763
Pd 1.024 2.273 3.969
Pd 1.024 4.322 1.763
Pd 1.024 2.273 7.494



2.
8
Lattice="-2.049 2.049 7.225 2.049 -2.049 7.225 2.049 2.049 -7.225" Properties=species:S:1:pos:R:3 comment="Cu2SbPd5 (GGA-PBE, relaxed)" dos_at_fermi_per_ev_cell=3.09 magnetic_moment_mub_per_cell=0.00 pbc="T T T"
Cu 0.000 0.000 3.590
Cu 0.000 0.000 10.859
Sb 0.000 0.000 7.225
Pd 0.000 0.000 0.000
Pd 2.049 0.000 1.949
Pd 2.049 0.000 5.275
Pd 0.000 2.049 1.949
Pd 0.000 2.049 5.275



Short version: 2 is the most stable of them.



1.
10
Lattice="7.133 0.000 0.000 0.000 7.133 0.000 0.000 0.000 3.166" Properties=species:S:1:pos:R:3 comment="Cu2SbPd2 (GGA-PBE, relaxed)" dos_at_fermi_per_ev_cell=5.41 magnetic_moment_mub_per_cell=0.00 pbc="T T T"
Cu 1.064 2.502 0.000
Cu 2.502 6.069 0.000
Cu 4.631 1.064 0.000
Cu 6.069 4.631 0.000
Sb 0.000 0.000 1.583
Sb 3.567 3.567 1.583
Pd 1.031 4.598 1.583
Pd 2.535 1.031 1.583
Pd 4.598 6.102 1.583
Pd 6.102 2.535 1.583



2.
10
Lattice="6.732 0.000 0.000 0.000 6.732 0.000 0.000 0.000 3.490" Properties=species:S:1:pos:R:3 comment="Cu2SbPd2 (GGA-PBE, relaxed)" dos_at_fermi_per_ev_cell=5.41 magnetic_moment_mub_per_cell=0.00 pbc="T T T"
Cu 0.870 2.496 0.000
Cu 2.496 5.862 0.000
Cu 4.235 0.870 0.000
Cu 5.862 4.235 0.000
Sb 0.000 0.000 0.000
Sb 3.366 3.366 0.000
Pd 1.113 4.479 1.745
Pd 2.253 1.113 1.745
Pd 4.479 5.618 1.745
Pd 5.618 2.253 1.745



3.
5
Lattice="2.188 1.263 4.651 -2.188 1.263 4.651 0.000 -2.527 4.651" Properties=species:S:1:pos:R:3 comment="Cu2SbPd2 (GGA-PBE, relaxed)" dos_at_fermi_per_ev_cell=2.52 magnetic_moment_mub_per_cell=0.00 pbc="T T T"
Cu 0.000 0.000 2.656
Cu 0.000 0.000 11.297
Sb 0.000 0.000 0.000
Pd 0.000 0.000 5.566
Pd 0.000 0.000 8.387



4.
5
Lattice="-1.739 1.739 6.876 1.739 -1.739 6.876 1.739 1.739 -6.876" Properties=species:S:1:pos:R:3 comment="Cu2SbPd2 (GGA-PBE, relaxed)" dos_at_fermi_per_ev_cell=1.93 magnetic_moment_mub_per_cell=0.00 pbc="T T T"
Cu 1.739 0.000 3.438
Cu 0.000 1.739 3.438
Sb 0.000 0.000 0.000
Pd 0.000 0.000 5.433
Pd 0.000 0.000 8.318



Short version: 3 is the most stable of them.



1.
10
Lattice="7.002 0.000 0.000 0.000 7.002 0.000 0.000 0.000 3.922" Properties=species:S:1:pos:R:3 comment="CuSb2Pd2 (GGA-PBE, relaxed)" dos_at_fermi_per_ev_cell=5.89 magnetic_moment_mub_per_cell=0.00 pbc="T T T"
Cu 0.000 0.000 0.000
Cu 3.501 3.501 0.000
Sb 1.156 2.345 1.961
Sb 2.345 5.846 1.961
Sb 4.657 1.156 1.961
Sb 5.846 4.657 1.961
Pd 1.001 4.502 0.000
Pd 2.500 1.001 0.000
Pd 4.502 6.001 0.000
Pd 6.001 2.500 0.000



2.
10
Lattice="7.302 0.000 0.000 0.000 7.302 0.000 0.000 0.000 3.712" Properties=species:S:1:pos:R:3 comment="CuSb2Pd2 (GGA-PBE, relaxed)" dos_at_fermi_per_ev_cell=6.06 magnetic_moment_mub_per_cell=0.00 pbc="T T T"
Cu 0.000 0.000 0.000
Cu 3.651 3.651 0.000
Sb 1.210 2.441 0.000
Sb 2.441 6.092 0.000
Sb 4.861 1.210 0.000
Sb 6.092 4.861 0.000
Pd 0.993 4.644 1.856
Pd 2.658 0.993 1.856
Pd 4.644 6.309 1.856
Pd 6.309 2.658 1.856



Short version: 1 is the most stable of them.



1.
8
Lattice="4.024 0.000 0.000 0.000 4.024 0.000 0.000 0.000 7.752" Properties=species:S:1:pos:R:3 comment="CuSbPd6 (GGA-PBE, relaxed)" dos_at_fermi_per_ev_cell=9.99 magnetic_moment_mub_per_cell=0.00 pbc="T T T"
Cu 0.000 0.000 0.000
Sb 0.000 0.000 3.876
Pd 0.000 2.012 1.874
Pd 0.000 2.012 5.878
Pd 2.012 0.000 1.874
Pd 2.012 0.000 5.878
Pd 2.012 2.012 0.000
Pd 2.012 2.012 3.876



2.
8
Lattice="4.281 -2.063 0.000 4.281 2.063 0.000 -3.789 0.000 7.097" Properties=species:S:1:pos:R:3 comment="CuSbPd6 (GGA-PBE, relaxed)" dos_at_fermi_per_ev_cell=6.15 magnetic_moment_mub_per_cell=0.00 pbc="T T T"
Cu 0.000 0.000 0.000
Sb -1.895 0.000 3.548
Pd -1.246 0.000 6.209
Pd 0.750 0.000 2.639
Pd 1.360 0.000 5.423
Pd 3.413 0.000 1.673
Pd 4.023 0.000 4.458
Pd 6.018 0.000 0.888



Short version: 2 is the most stable of them.



1.
19
Lattice="5.975 3.450 2.260 -5.975 3.450 2.260 0.000 -6.899 2.260" Properties=species:S:1:pos:R:3 comment="Cu6SbPd12 (GGA-PBE, relaxed)" dos_at_fermi_per_ev_cell=15.11 magnetic_moment_mub_per_cell=0.00 pbc="T T T"
Cu -3.146 -0.352 2.241
Cu 1.878 -2.549 2.241
Cu -1.268 -2.901 4.540
Cu 1.268 2.901 2.241
Cu -1.878 2.549 4.540
Cu 3.146 0.352 4.540
Sb 0.000 0.000 0.000
Pd -0.325 -4.129 2.291
Pd -3.414 2.346 2.291
Pd -0.691 -1.471 2.286
Pd -3.739 -1.783 4.490
Pd -0.928 1.334 2.286
Pd 1.620 0.137 2.286
Pd -1.620 -0.137 4.495
Pd 0.928 -1.334 4.495
Pd 3.739 1.783 2.291
Pd 0.691 1.471 4.495
Pd 3.414 -2.346 4.490
Pd 0.325 4.129 4.490



2.
19
Lattice="5.370 3.100 2.942 -5.370 3.100 2.942 0.000 -6.200 2.942" Properties=species:S:1:pos:R:3 comment="Cu6SbPd12 (GGA-PBE, relaxed)" dos_at_fermi_per_ev_cell=16.46 magnetic_moment_mub_per_cell=0.00 pbc="T T T"
Cu -1.351 -0.780 2.163
Cu 1.351 -0.780 2.163
Cu 0.000 1.560 2.163
Cu 0.000 -1.560 6.665
Cu -1.351 0.780 6.665
Cu 1.351 0.780 6.665
Sb 0.000 0.000 4.414
Pd 0.000 -3.810 2.495
Pd -3.299 1.905 2.495
Pd -1.407 -2.437 4.414
Pd -2.814 0.000 4.414
Pd -3.299 -1.905 6.332
Pd 1.407 -2.437 4.414
Pd -1.407 2.437 4.414
Pd 3.299 1.905 2.495
Pd 2.814 0.000 4.414
Pd 1.407 2.437 4.414
Pd 3.299 -1.905 6.332
Pd 0.000 3.810 6.332



Short version: 1 is the most stable of them.



1.
11
Lattice="-2.107 3.706 5.846 2.107 -3.706 5.846 2.107 3.706 -5.846" Properties=species:S:1:pos:R:3 comment="CuSb2Pd8 (GGA-PBE, relaxed)" dos_at_fermi_per_ev_cell=4.94 magnetic_moment_mub_per_cell=0.00 pbc="T T T"
Cu 0.000 0.000 0.000
Sb 0.000 0.000 3.615
Sb 0.000 0.000 8.076
Pd 2.107 -1.697 4.011
Pd 2.107 0.000 1.648
Pd 2.107 2.220 0.000
Pd 0.000 2.009 1.835
Pd 2.107 1.697 4.011
Pd 0.000 1.486 5.846
Pd 0.000 3.706 4.198
Pd 0.000 5.403 1.835



2.
11
Lattice="3.680 -6.037 0.000 3.680 6.037 0.000 -1.690 0.000 4.249" Properties=species:S:1:pos:R:3 comment="CuSb2Pd8 (GGA-PBE, relaxed)" dos_at_fermi_per_ev_cell=6.03 magnetic_moment_mub_per_cell=0.00 pbc="T T T"
Cu 0.000 0.000 0.000
Sb 2.835 2.250 2.124
Sb 2.835 -2.250 2.124
Pd 0.435 1.373 2.607
Pd 3.680 3.469 0.000
Pd 0.435 -1.373 2.607
Pd 2.471 0.000 0.757
Pd 3.199 0.000 3.492
Pd 5.235 1.373 1.642
Pd 3.680 -3.469 0.000
Pd 5.235 -1.373 1.642



Short version: 1 is the most stable of them.



1.
11
Lattice="4.974 -4.393 0.000 4.974 4.393 0.000 -1.356 0.000 4.472" Properties=species:S:1:pos:R:3 comment="Cu2SbPd8 (GGA-PBE, relaxed)" dos_at_fermi_per_ev_cell=7.28 magnetic_moment_mub_per_cell=0.00 pbc="T T T"
Cu 1.477 0.000 0.177
Cu 7.115 0.000 4.296
Sb -0.678 0.000 2.236
Pd 3.132 2.276 3.167
Pd 1.870 0.000 2.722
Pd 5.460 2.276 1.305
Pd 3.960 0.000 0.910
Pd 4.633 0.000 3.562
Pd 3.132 -2.276 3.167
Pd 6.723 0.000 1.750
Pd 5.460 -2.276 1.305



2.
11
Lattice="7.003 -2.033 0.000 7.003 2.033 0.000 -1.590 0.000 5.910" Properties=species:S:1:pos:R:3 comment="Cu2SbPd8 (GGA-PBE, relaxed)" dos_at_fermi_per_ev_cell=8.91 magnetic_moment_mub_per_cell=0.00 pbc="T T T"
Cu 2.939 0.000 0.826
Cu 9.476 0.000 5.085
Sb 6.207 0.000 2.955
Pd 0.276 0.000 1.364
Pd 0.930 0.000 4.152
Pd 3.536 0.000 3.435
Pd 5.581 0.000 0.233
Pd 6.833 0.000 5.677
Pd 8.879 0.000 2.476
Pd 11.485 0.000 1.758
Pd 12.139 0.000 4.546



Short version: 2 is the most stable of them.



1.
12
Lattice="2.096 -6.331 0.000 2.096 6.331 0.000 0.000 0.000 6.956" Properties=species:S:1:pos:R:3 comment="Cu2SbPd3 (GGA-PBE, relaxed)" dos_at_fermi_per_ev_cell=6.38 magnetic_moment_mub_per_cell=0.00 pbc="T T T"
Cu 0.000 0.000 0.000
Cu 0.000 0.000 3.478
Cu 2.096 2.172 0.000
Cu 2.096 -2.172 0.000
Sb 2.096 1.876 3.478
Sb 2.096 -1.876 3.478
Pd 2.096 4.228 1.690
Pd 2.096 4.228 5.266
Pd 2.096 0.000 1.524
Pd 2.096 0.000 5.431
Pd 2.096 -4.228 1.690
Pd 2.096 -4.228 5.266



2.
6
Lattice="4.414 0.000 0.000 -2.207 3.823 0.000 0.000 0.000 5.448" Properties=species:S:1:pos:R:3 comment="Cu2SbPd3 (GGA-PBE, relaxed)" dos_at_fermi_per_ev_cell=2.51 magnetic_moment_mub_per_cell=0.00 pbc="T T T"
Cu 0.000 2.548 0.813
Cu 2.207 1.274 4.635
Sb 0.000 0.000 2.724
Pd 0.000 0.000 0.000
Pd 0.000 2.548 3.660
Pd 2.207 1.274 1.788



Short version: 2 is the most stable of them.



1.
10
Lattice="6.922 0.000 0.000 0.000 6.922 0.000 0.000 0.000 3.542" Properties=species:S:1:pos:R:3 comment="Sc2Cu2Pd (GGA-PBE, relaxed)" dos_at_fermi_per_ev_cell=9.34 magnetic_moment_mub_per_cell=0.00 pbc="T T T"
Sc 1.228 2.233 0.000
Sc 2.233 5.694 0.000
Sc 4.689 1.228 0.000
Sc 5.694 4.689 0.000
Cu 0.854 4.315 1.771
Cu 2.608 0.854 1.771
Cu 4.315 6.069 1.771
Cu 6.069 2.608 1.771
Pd 0.000 0.000 1.771
Pd 3.461 3.461 1.771



2.
5
Lattice="3.799 -2.327 0.000 3.799 2.327 0.000 -2.229 0.000 4.704" Properties=species:S:1:pos:R:3 comment="Sc2Cu2Pd (GGA-PBE, relaxed)" dos_at_fermi_per_ev_cell=3.71 magnetic_moment_mub_per_cell=0.00 pbc="T T T"
Sc 1.332 0.000 0.910
Sc 4.037 0.000 3.794
Cu 1.413 0.000 3.521
Cu 3.955 0.000 1.183
Pd -1.114 0.000 2.352



Short version: 1 is the most stable of them.